a.
Below is a relaxed structure of RbTiSe2N, with properties calculated at the PBE-GGA level.

Calculated values
The space group is P4/mmm (123). The theoretical density comes out at 4.563 g cm⁻³. The density of states at the Fermi level is 2.52 states/eV/cell. The volume comes out at 22.22 A^3/atom.

Lattice parameters (Å, degrees): 5.2699 5.2699 4.0005 90.00 90.00 90.00
Last column: nearest neighbours and their distance in Å.
Positions (direct):
N: 0.0000 0.0000 0.5000  2 Ti 2.00
Se: 0.0000 0.5000 0.0000  2 Ti 2.63
Se: 0.5000 0.0000 0.0000  2 Ti 2.63
Rb: 0.5000 0.5000 0.5000  8 Se 3.31
Ti: 0.0000 0.0000 0.0000  2 N 2.00



b.
Below is a relaxed structure of RbTiSe2N, with properties calculated at the PBE-GGA level.

Calculated values
The space group is P4/mmm (123). The theoretical density comes out at 3.927 g cm⁻³. The density of states at the Fermi level is 10.35 states/eV/cell. The volume comes out at 25.81 A^3/atom.

Lattice parameters (Å, degrees): 5.5681 5.5681 4.1632 90.00 90.00 90.00
Last column: nearest neighbours and their distance in Å.
Positions (direct):
N: 0.0000 0.0000 0.5000  2 Rb 2.08
Se: 0.0000 0.5000 0.0000  2 Rb 2.78
Se: 0.5000 0.0000 0.0000  2 Rb 2.78
Rb: 0.0000 0.0000 0.0000  2 N 2.08
Ti: 0.5000 0.5000 0.5000  8 Se 3.48



Energies relative to the most stable structure, in meV/atom: a 0; b 2317.



a.
Below is a relaxed structure of RbWSe2N, with properties calculated at the PBE-GGA level.

Calculated values
The space group is P4/mmm (123). The theoretical density comes out at 6.853 g cm⁻³. The density of states at the Fermi level is 3.24 states/eV/cell. The volume comes out at 21.38 A^3/atom.

Lattice parameters (Å, degrees): 5.2277 5.2277 3.9125 90.00 90.00 90.00
Last column: nearest neighbours and their distance in Å.
Positions (direct):
Se: 0.0000 0.5000 0.0000  2 W 2.61
Se: 0.5000 0.0000 0.0000  2 W 2.61
Rb: 0.5000 0.5000 0.5000  8 Se 3.26
W: 0.0000 0.0000 0.0000  2 N 1.96
N: 0.0000 0.0000 0.5000  2 W 1.96



b.
Below is a relaxed structure of RbWSe2N, with properties calculated at the PBE-GGA level.

Calculated values
The space group is P4/mmm (123). The theoretical density comes out at 6.204 g cm⁻³. The density of states at the Fermi level is 8.48 states/eV/cell. The volume comes out at 23.62 A^3/atom.

Lattice parameters (Å, degrees): 5.4393 5.4393 3.9916 90.00 90.00 90.00
Last column: nearest neighbours and their distance in Å.
Positions (direct):
Se: 0.0000 0.5000 0.0000  2 Rb 2.72
Se: 0.5000 0.0000 0.0000  2 Rb 2.72
Rb: 0.0000 0.0000 0.0000  2 N 2.00
W: 0.5000 0.5000 0.5000  8 Se 3.37
N: 0.0000 0.0000 0.5000  2 Rb 2.00



Energies relative to the most stable structure, in meV/atom: a 0; b 3073.



a.
Below is a relaxed structure of RbYSe2N, with properties calculated at the PBE-GGA level.

Calculated values
The space group is P4/mmm (123). The theoretical density comes out at 3.826 g cm⁻³. The density of states at the Fermi level is 3.92 states/eV/cell. The volume comes out at 30.06 A^3/atom.

Lattice parameters (Å, degrees): 5.6243 5.6243 4.7513 90.00 90.00 90.00
Last column: nearest neighbours and their distance in Å.
Positions (direct):
Y: 0.0000 0.0000 0.0000  2 N 2.38
Se: 0.0000 0.5000 0.0000  2 Y 2.81
Se: 0.5000 0.0000 0.0000  2 Y 2.81
Rb: 0.5000 0.5000 0.5000  8 Se 3.68, 4 N 3.98
N: 0.0000 0.0000 0.5000  2 Y 2.38



b.
Below is a relaxed structure of RbYSe2N, with properties calculated at the PBE-GGA level.

Calculated values
The space group is P4/mmm (123). The theoretical density comes out at 4.076 g cm⁻³. The density of states at the Fermi level is 2.24 states/eV/cell. The volume comes out at 28.22 A^3/atom.

Lattice parameters (Å, degrees): 5.6610 5.6610 4.4023 90.00 90.00 90.00
Last column: nearest neighbours and their distance in Å.
Positions (direct):
Y: 0.5000 0.5000 0.5000  8 Se 3.59, 4 N 4.00
Se: 0.0000 0.5000 0.0000  2 Rb 2.83
Se: 0.5000 0.0000 0.0000  2 Rb 2.83
Rb: 0.0000 0.0000 0.0000  2 N 2.20
N: 0.0000 0.0000 0.5000  2 Rb 2.20



Energies relative to the most stable structure, in meV/atom: a 0; b 1397.



a.
Below is a relaxed structure of RbZrSeN2, with properties calculated at the PBE-GGA level.

Calculated values
The space group is P4/mmm (123). The theoretical density comes out at 4.347 g cm⁻³. The density of states at the Fermi level is 1.56 states/eV/cell. The volume comes out at 21.67 A^3/atom.

Lattice parameters (Å, degrees): 4.4962 4.4962 5.3599 90.00 90.00 90.00
Last column: nearest neighbours and their distance in Å.
Positions (direct):
Se: 0.0000 0.0000 0.5000  2 Zr 2.68
Rb: 0.5000 0.5000 0.5000  4 Se 3.18, 8 N 3.50
Zr: 0.0000 0.0000 0.0000  4 N 2.25
N: 0.0000 0.5000 0.0000  2 Zr 2.25
N: 0.5000 0.0000 0.0000  2 Zr 2.25



b.
Below is a relaxed structure of RbZrSeN2, with properties calculated at the PBE-GGA level.

Calculated values
The space group is P4/mmm (123). The theoretical density comes out at 4.498 g cm⁻³. The density of states at the Fermi level is 2.84 states/eV/cell. The volume comes out at 20.94 A^3/atom.

Lattice parameters (Å, degrees): 4.2473 4.2473 5.8047 90.00 90.00 90.00
Last column: nearest neighbours and their distance in Å.
Positions (direct):
Se: 0.0000 0.0000 0.5000  2 Rb 2.90, 4 Zr 3.00
Rb: 0.0000 0.0000 0.0000  4 N 2.12
Zr: 0.5000 0.5000 0.5000  4 Se 3.00
N: 0.0000 0.5000 0.0000  2 Rb 2.12
N: 0.5000 0.0000 0.0000  2 Rb 2.12



Energies relative to the most stable structure, in meV/atom: a 0; b 2099.



a.
Below is a relaxed structure of RbZrSe2N, with properties calculated at the PBE-GGA level.

Calculated values
The space group is P4/mmm (123). The theoretical density comes out at 4.529 g cm⁻³. The density of states at the Fermi level is 2.03 states/eV/cell. The volume comes out at 25.56 A^3/atom.

Lattice parameters (Å, degrees): 5.4276 5.4276 4.3386 90.00 90.00 90.00
Last column: nearest neighbours and their distance in Å.
Positions (direct):
Se: 0.0000 0.5000 0.0000  2 Zr 2.71
Se: 0.5000 0.0000 0.0000  2 Zr 2.71
Rb: 0.5000 0.5000 0.5000  8 Se 3.47, 4 N 3.84
Zr: 0.0000 0.0000 0.0000  2 N 2.17
N: 0.0000 0.0000 0.5000  2 Zr 2.17



b.
Below is a relaxed structure of RbZrSe2N, with properties calculated at the PBE-GGA level.

Calculated values
The space group is P4/mmm (123). The theoretical density comes out at 4.655 g cm⁻³. The density of states at the Fermi level is 5.85 states/eV/cell. The volume comes out at 24.87 A^3/atom.

Lattice parameters (Å, degrees): 5.4908 5.4908 4.1249 90.00 90.00 90.00
Last column: nearest neighbours and their distance in Å.
Positions (direct):
Se: 0.0000 0.5000 0.0000  2 Rb 2.75
Se: 0.5000 0.0000 0.0000  2 Rb 2.75
Rb: 0.0000 0.0000 0.0000  2 N 2.06
Zr: 0.5000 0.5000 0.5000  8 Se 3.43
N: 0.0000 0.0000 0.5000  2 Rb 2.06



Energies relative to the most stable structure, in meV/atom: a 0; b 2177.



a.
Below is a relaxed structure of RbSi3N, with properties calculated at the PBE-GGA level.

Calculated values
The space group is Pm-3m (221). The theoretical density comes out at 1.799 g cm⁻³. The density of states at the Fermi level is 5.98 states/eV/cell. The volume comes out at 33.91 A^3/atom.

Lattice parameters (Å, degrees): 5.5347 5.5347 5.5347 90.00 90.00 90.00
Last column: nearest neighbours and their distance in Å.
Positions (direct):
Si: 0.0000 0.5000 0.0000  2 Rb 2.77
Si: 0.0000 0.0000 0.5000  2 Rb 2.77
Si: 0.5000 0.0000 0.0000  2 Rb 2.77
Rb: 0.0000 0.0000 0.0000  6 Si 2.77
N: 0.5000 0.5000 0.5000  12 Si 3.91



b.
Below is a relaxed structure of RbSi3N, with properties calculated at the PBE-GGA level.

Calculated values
The space group is Pm-3m (221). The theoretical density comes out at 3.242 g cm⁻³. The density of states at the Fermi level is 3.90 states/eV/cell. The volume comes out at 18.82 A^3/atom.

Lattice parameters (Å, degrees): 4.5488 4.5488 4.5488 90.00 90.00 90.00
Last column: nearest neighbours and their distance in Å.
Positions (direct):
Si: 0.0000 0.5000 0.0000  2 N 2.27
Si: 0.0000 0.0000 0.5000  2 N 2.27
Si: 0.5000 0.0000 0.0000  2 N 2.27
Rb: 0.5000 0.5000 0.5000  12 Si 3.22
N: 0.0000 0.0000 0.0000  6 Si 2.27



Energies relative to the most stable structure, in meV/atom: a 2313; b 0.



a.
Below is a relaxed structure of RbSiTeN2, with properties calculated at the PBE-GGA level.

Calculated values
The space group is P4/mmm (123). The theoretical density comes out at 4.638 g cm⁻³. The density of states at the Fermi level is 2.36 states/eV/cell. The volume comes out at 19.27 A^3/atom.

Lattice parameters (Å, degrees): 4.2467 4.2467 5.3433 90.00 90.00 90.00
Last column: nearest neighbours and their distance in Å.
Positions (direct):
Si: 0.0000 0.0000 0.0000  4 N 2.12
Te: 0.0000 0.0000 0.5000  2 Si 2.67
Rb: 0.5000 0.5000 0.5000  4 Te 3.00
N: 0.0000 0.5000 0.0000  2 Si 2.12
N: 0.5000 0.0000 0.0000  2 Si 2.12



b.
Below is a relaxed structure of RbSiTeN2, with properties calculated at the PBE-GGA level.

Calculated values
The space group is P4/mmm (123). The theoretical density comes out at 2.501 g cm⁻³. The density of states at the Fermi level is 2.95 states/eV/cell. The volume comes out at 35.74 A^3/atom.

Lattice parameters (Å, degrees): 4.9721 4.9721 7.2290 90.00 90.00 90.00
Last column: nearest neighbours and their distance in Å.
Positions (direct):
Si: 0.5000 0.5000 0.5000  4 Te 3.52
Te: 0.0000 0.0000 0.5000  4 Si 3.52, 2 Rb 3.61
Rb: 0.0000 0.0000 0.0000  4 N 2.49
N: 0.0000 0.5000 0.0000  2 Rb 2.49
N: 0.5000 0.0000 0.0000  2 Rb 2.49



Energies relative to the most stable structure, in meV/atom: a 0; b 1259.